Below is a relaxed structure of CsRbBiCl6, with properties calculated at the PBE level.

Output
The total energy comes out at -3.17 eV/atom. The uncorrected formation energy comes out at -1301.0 meV per atom.

a b c (Å): 7.9735 7.9742 7.1316
angles (deg): 90.01 90.00 60.00
Last column: nearest neighbours and their distance in Å.
Atoms (fractional coordinates):
Cl1 0.6028 0.0617 0.2862  1 Bi 2.64
Cl2 0.3355 0.6029 0.2862  1 Bi 2.64
Cl3 0.3355 0.0616 0.7138  1 Bi 2.64
Cl4 0.0616 0.3355 0.2862  1 Bi 2.64
Cl5 0.6028 0.3355 0.7137  1 Bi 2.64
Cs1 0.0000 0.0000 0.0000  6 Cl 3.59
Cl6 0.0616 0.6029 0.7137  1 Bi 2.64
Rb1 0.6666 0.6667 0.5000  6 Cl 3.30
Bi1 0.3333 0.3333 0.5000  6 Cl 2.64

Below is a relaxed structure of KIn2Ir2, with properties calculated at the PBE level.

Output
The total energy comes out at -4.83 eV/atom.

a b c (Å): 8.1699 8.1699 3.0162
angles (deg): 90.00 90.00 90.00
Last column: nearest neighbours and their distance in Å.
Atoms (fractional coordinates):
In1 0.1510 0.6510 0.5000  6 Ir 2.83, 2 In 3.02
Ir1 0.8584 0.6416 0.0000  6 In 2.83, 2 Ir 3.02, 2 K 3.15
In2 0.6510 0.8490 0.5000  6 Ir 2.83, 2 In 3.02
K1 0.0000 0.0000 0.0000  2 K 3.02, 4 Ir 3.15
Ir2 0.6416 0.1416 0.0000  6 In 2.83, 2 Ir 3.02, 2 K 3.15
In3 0.3490 0.1510 0.5000  6 Ir 2.83, 2 In 3.02
Ir3 0.3584 0.8584 0.0000  6 In 2.83, 2 Ir 3.02, 2 K 3.15
In4 0.8490 0.3490 0.5000  6 Ir 2.83, 2 In 3.02
Ir4 0.1416 0.3584 0.0000  6 In 2.83, 2 Ir 3.02, 2 K 3.15
K2 0.5000 0.5000 0.0000  2 K 3.02, 4 Ir 3.15

Below is a relaxed structure of Ni2AsPt2, with properties calculated at the PBE level.

Output
The total energy comes out at -5.61 eV/atom.

a b c (Å): 7.4026 7.4026 2.7176
angles (deg): 90.00 90.00 90.00
Last column: nearest neighbours and their distance in Å.
Atoms (fractional coordinates):
Pt1 0.6757 0.1757 0.0000  6 Ni 2.55-2.60, 2 Pt 2.72, 2 As 2.73
Pt2 0.1757 0.3243 0.0000  6 Ni 2.55-2.60, 2 Pt 2.72, 2 As 2.73
Ni1 0.6187 0.8813 0.5000  3 Ni 2.49-2.72, 6 Pt 2.55-2.60
As1 0.0000 0.0000 0.0000  2 As 2.72, 4 Pt 2.73
Pt3 0.8243 0.6757 0.0000  6 Ni 2.55-2.60, 2 Pt 2.72, 2 As 2.73
Ni2 0.3813 0.1187 0.5000  3 Ni 2.49-2.72, 6 Pt 2.55-2.60
Ni3 0.1187 0.6187 0.5000  3 Ni 2.49-2.72, 6 Pt 2.55-2.60
As2 0.5000 0.5000 0.0000  2 As 2.72, 4 Pt 2.73
Pt4 0.3243 0.8243 0.0000  6 Ni 2.55-2.60, 2 Pt 2.72, 2 As 2.73
Ni4 0.8813 0.3813 0.5000  3 Ni 2.49-2.72, 6 Pt 2.55-2.60

Below is a relaxed structure of Li5Ca2Au3, with properties calculated at the PBE level.

Output
The total energy comes out at -2.82 eV/atom.

a b c (Å): 4.3398 7.3111 13.3618
angles (deg): 90.00 99.35 90.00
Last column: nearest neighbours and their distance in Å.
Atoms (fractional coordinates):
Li1 0.4032 0.3911 0.8065  3 Au 2.67-2.75
Ca1 0.1777 0.7063 0.3555  4 Au 3.07-3.13, 9 Li 3.19-3.33
Li2 0.8695 0.7372 0.7391  4 Au 2.81-3.03
Li3 0.7089 0.4069 0.4179  4 Au 2.65-2.70, 1 Li 2.76
Li4 0.7078 0.0292 0.4156  3 Au 2.69, 1 Li 2.76
Li5 0.2922 0.5292 0.5844  3 Au 2.69, 1 Li 2.76
Au1 0.0433 0.9787 0.0865  5 Li 2.67-2.98
Au2 0.7632 0.7196 0.5264  7 Li 2.67-2.81
Au3 0.9567 0.4787 0.9135  5 Li 2.67-2.98
Li6 0.5968 0.8911 0.1935  3 Au 2.67-2.75
Ca2 0.8223 0.2063 0.6445  4 Au 3.07-3.13, 9 Li 3.19-3.33
Li7 0.2911 0.9069 0.5821  4 Au 2.65-2.70, 1 Li 2.76
Li8 0.1305 0.2372 0.2609  4 Au 2.81-3.03
Au4 0.3865 0.0203 0.7729  4 Li 2.65-2.75
Li9 0.9423 0.1048 0.8845  4 Au 2.69-2.82
Au5 0.6135 0.5203 0.2271  4 Li 2.65-2.75
Ca3 0.5235 0.2707 0.0470  5 Au 2.99-3.18, 3 Li 3.28-3.29
Li10 0.0577 0.6048 0.1155  4 Au 2.69-2.82
Ca4 0.4765 0.7707 0.9530  5 Au 2.99-3.18, 3 Li 3.28-3.29
Au6 0.2368 0.2196 0.4736  7 Li 2.67-2.81

What did the first record say?
Below is a relaxed structure of CsRbBiCl6, with properties calculated at the PBE level.

Output
The total energy comes out at -3.17 eV/atom. The uncorrected formation energy comes out at -1301.0 meV per atom.

a b c (Å): 7.9735 7.9742 7.1316
angles (deg): 90.01 90.00 60.00
Last column: nearest neighbours and their distance in Å.
Atoms (fractional coordinates):
Cl1 0.6028 0.0617 0.2862  1 Bi 2.64
Cl2 0.3355 0.6029 0.2862  1 Bi 2.64
Cl3 0.3355 0.0616 0.7138  1 Bi 2.64
Cl4 0.0616 0.3355 0.2862  1 Bi 2.64
Cl5 0.6028 0.3355 0.7137  1 Bi 2.64
Cs1 0.0000 0.0000 0.0000  6 Cl 3.59
Cl6 0.0616 0.6029 0.7137  1 Bi 2.64
Rb1 0.6666 0.6667 0.5000  6 Cl 3.30
Bi1 0.3333 0.3333 0.5000  6 Cl 2.64